Entry 1:
{"formula": "AcLaCoCl", "functional": "PBE", "state": "optimized geometry", "lattice_angstrom": [[2.0451, 1.1807, 7.9331], [-2.0451, 1.1807, 7.9331], [0.0000, -2.3615, 7.9331]], "species": ["Ac", "La", "Co", "Cl"], "frac_coords": [[0.0000, 0.0000, 0.0000], [0.7981, 0.7981, 0.7981], [0.4036, 0.4036, 0.4036], [0.2252, 0.2252, 0.2252]], "magmom_total_mub_per_cell": 0.00, "dos_ef_per_ev_cell": 1.44, "e_form_raw_ev_per_atom": -0.876}


Entry 2:
{"formula": "Li2AcCoCl8", "functional": "PBE", "state": "optimized geometry", "lattice_angstrom": [[6.4706, 0.0000, 0.0000], [1.0763, 6.6860, 0.0000], [0.5518, 3.2018, 7.1173]], "species": ["Li", "Li", "Ac", "Co", "Cl", "Cl", "Cl", "Cl", "Cl", "Cl", "Cl", "Cl"], "frac_coords": [[0.0340, 0.4725, 0.2232], [0.9660, 0.5275, 0.7768], [0.5000, 0.0000, 0.0000], [0.5000, 0.5000, 0.5000], [0.0991, 0.2201, 0.0608], [0.1871, 0.6914, 0.5205], [0.3567, 0.1820, 0.6162], [0.4105, 0.5429, 0.2072], [0.5895, 0.4571, 0.7928], [0.6433, 0.8181, 0.3838], [0.8129, 0.3086, 0.4795], [0.9009, 0.7799, 0.9392]], "magmom_total_mub_per_cell": 0.11, "e_form_raw_ev_per_atom": -1.523}


Entry 3:
{"formula": "Ac8Co3NCl3", "functional": "PBE", "state": "optimized geometry", "lattice_angstrom": [[7.2277, -4.1535, 0.0000], [7.2277, 4.1535, 0.0000], [-4.7939, 0.0000, 7.8875]], "species": ["Ac", "Ac", "Ac", "Ac", "Ac", "Ac", "Ac", "Ac", "Co", "Co", "Co", "N", "Cl", "Cl", "Cl"], "frac_coords": [[0.2246, 0.7447, 0.6933], [0.2267, 0.2267, 0.6946], [0.2553, 0.7754, 0.3067], [0.2664, 0.2664, 0.3000], [0.7336, 0.7336, 0.7000], [0.7447, 0.2246, 0.6933], [0.7733, 0.7733, 0.3054], [0.7754, 0.2553, 0.3067], [0.0000, 0.5000, 0.5000], [0.5000, 0.0000, 0.5000], [0.5000, 0.5000, 0.5000], [0.0000, 0.0000, 0.5000], [0.0000, 0.0000, 0.0000], [0.0000, 0.5000, 0.0000], [0.5000, 0.0000, 0.0000]], "magmom_total_mub_per_cell": 0.52, "dos_ef_per_ev_cell": 7.99, "e_form_raw_ev_per_atom": -0.753}


Entry 4:
{"formula": "Ac8Co3NCl4", "functional": "PBE", "state": "optimized geometry", "lattice_angstrom": [[7.2436, -4.0851, 0.0000], [7.2436, 4.0851, 0.0000], [-4.7831, 0.0000, 7.9624]], "species": ["Ac", "Ac", "Ac", "Ac", "Ac", "Ac", "Ac", "Ac", "Co", "Co", "Co", "N", "Cl", "Cl", "Cl", "Cl"], "frac_coords": [[0.2246, 0.7496, 0.6933], [0.2320, 0.2320, 0.6963], [0.2504, 0.7754, 0.3067], [0.2661, 0.2661, 0.3027], [0.7339, 0.7339, 0.6973], [0.7496, 0.2246, 0.6933], [0.7680, 0.7680, 0.3037], [0.7754, 0.2504, 0.3067], [0.0000, 0.5000, 0.5000], [0.5000, 0.0000, 0.5000], [0.5000, 0.5000, 0.5000], [0.0000, 0.0000, 0.5000], [0.0000, 0.0000, 0.0000], [0.0000, 0.5000, 0.0000], [0.5000, 0.0000, 0.0000], [0.5000, 0.5000, 0.0000]], "magmom_total_mub_per_cell": 0.00, "dos_ef_per_ev_cell": 7.53, "e_form_raw_ev_per_atom": -0.953}


Entry 5:
{"formula": "AcNdCoCl", "functional": "PBE", "state": "optimized geometry", "lattice_angstrom": [[2.0274, 1.1705, 7.8916], [-2.0274, 1.1705, 7.8916], [0.0000, -2.3410, 7.8916]], "species": ["Ac", "Nd", "Co", "Cl"], "frac_coords": [[0.0000, 0.0000, 0.0000], [0.7981, 0.7981, 0.7981], [0.4012, 0.4012, 0.4012], [0.2224, 0.2224, 0.2224]], "magmom_total_mub_per_cell": 0.00, "dos_ef_per_ev_cell": 0.93, "e_form_raw_ev_per_atom": -0.814}


Entry 6:
{"formula": "Ac6CoNi2Cl3", "functional": "PBE", "state": "optimized geometry", "lattice_angstrom": [[3.6955, -6.4024, 0.0000], [3.6955, 6.4024, 0.0000], [-2.4613, 0.0000, 7.9452]], "species": ["Ac", "Ac", "Ac", "Ac", "Ac", "Ac", "Co", "Ni", "Ni", "Cl", "Cl", "Cl"], "frac_coords": [[0.0665, 0.3929, 0.1994], [0.2599, 0.2599, 0.8005], [0.3929, 0.0665, 0.1994], [0.6071, 0.9335, 0.8006], [0.7401, 0.7401, 0.1995], [0.9335, 0.6071, 0.8006], [0.0000, 0.0000, 0.0000], [0.3332, 0.6668, 0.0000], [0.6668, 0.3332, 0.0000], [0.1640, 0.8360, 0.5000], [0.5000, 0.5000, 0.5000], [0.8360, 0.1640, 0.5000]], "magmom_total_mub_per_cell": 0.00, "dos_ef_per_ev_cell": 7.40, "e_form_raw_ev_per_atom": -0.920}


Entry 7:
{"formula": "Ac8Co3NiCl4", "functional": "PBE", "state": "optimized geometry", "lattice_angstrom": [[7.3194, -4.2256, 0.0000], [7.3194, 4.2256, 0.0000], [-4.8886, 0.0000, 7.9604]], "species": ["Ac", "Ac", "Ac", "Ac", "Ac", "Ac", "Ac", "Ac", "Co", "Co", "Co", "Ni", "Cl", "Cl", "Cl", "Cl"], "frac_coords": [[0.2282, 0.7356, 0.6989], [0.2332, 0.2332, 0.6990], [0.2644, 0.2644, 0.3012], [0.2644, 0.7718, 0.3011], [0.7356, 0.2282, 0.6989], [0.7356, 0.7356, 0.6988], [0.7668, 0.7668, 0.3010], [0.7718, 0.2644, 0.3011], [0.0000, 0.0000, 0.5000], [0.0000, 0.5000, 0.5000], [0.5000, 0.0000, 0.5000], [0.5000, 0.5000, 0.5000], [0.0000, 0.0000, 0.0000], [0.0000, 0.5000, 0.0000], [0.5000, 0.0000, 0.0000], [0.5000, 0.5000, 0.0000]], "magmom_total_mub_per_cell": 0.00, "dos_ef_per_ev_cell": 7.17, "e_form_raw_ev_per_atom": -0.880}


Entry 8:
{"formula": "Ac6CoNi2Cl2", "functional": "PBE", "state": "optimized geometry", "lattice_angstrom": [[3.7004, -6.4774, 0.0000], [3.7004, 6.4774, 0.0000], [-2.4525, 0.0000, 7.5812]], "species": ["Ac", "Ac", "Ac", "Ac", "Ac", "Ac", "Co", "Ni", "Ni", "Cl", "Cl"], "frac_coords": [[0.0749, 0.3958, 0.2076], [0.2625, 0.2625, 0.7905], [0.3958, 0.0749, 0.2076], [0.6042, 0.9251, 0.7924], [0.7375, 0.7375, 0.2095], [0.9251, 0.6042, 0.7924], [0.0000, 0.0000, 0.0000], [0.3302, 0.6698, 0.0000], [0.6698, 0.3302, 0.0000], [0.1680, 0.8320, 0.5000], [0.8320, 0.1680, 0.5000]], "magmom_total_mub_per_cell": 0.00, "dos_ef_per_ev_cell": 6.32, "e_form_raw_ev_per_atom": -0.688}